[1]
Below is a relaxed structure of BaTa2, with properties calculated at the PBE-GGA level.

space-group type	No. 12
formation enthalpy at 0 K	545	meV/atom
calculated density	8.816	g/cm³
calculated total energy	-7.997	eV per atom

Lattice parameters (Å, degrees): 5.159 5.159 11.401 74.58 74.58 40.25
Fractional positions:
1 Ba 0.318 0.318 0.661
2 Ba 0.682 0.682 0.339
3 Ta 0.666 0.666 0.942
4 Ta 0.027 0.027 0.122
5 Ta 0.973 0.973 0.878
6 Ta 0.334 0.334 0.058

[2]
Below is a relaxed structure of Cr2AgPd, with properties calculated at the PBE-GGA level.

space-group type	No. 122
formation enthalpy at 0 K	1002	meV/atom
calculated density	8.502	g/cm³
calculated total energy	-5.821	eV per atom

Lattice parameters (Å, degrees): 6.986 6.986 5.558 51.06 51.06 90.00
Fractional positions:
1 Cr 0.602 0.125 0.250
2 Cr 0.875 0.852 0.750
3 Cr 0.148 0.625 0.250
4 Cr 0.375 0.398 0.750
5 Pd 0.500 0.500 0.000
6 Pd 0.250 0.750 0.500
7 Ag 0.000 0.000 0.000
8 Ag 0.750 0.250 0.500

[3]
Below is a relaxed structure of Be2ZnTeBr, with properties calculated at the PBE-GGA level.

space-group type	No. 123
ΔE_f (raw)	3.7	eV/f.u.
calculated density	4.375	g/cm³
calculated total energy	-1.974	eV per atom

Lattice parameters (Å, degrees): 4.384 5.745 4.384 90.00 90.00 90.00
Fractional positions:
1 Be 0.000 0.000 0.500
2 Be 0.500 0.000 0.000
3 Br 0.500 0.500 0.500
4 Zn 0.000 0.000 0.000
5 Te 0.000 0.500 0.000

[4]
Below is a relaxed structure of PmGdTm, with properties calculated at the PBE-GGA level.

space-group type	No. 187
formation enthalpy at 0 K	72	meV/atom
calculated density	8.096	g/cm³
calculated total energy	-7.696	eV per atom

Lattice parameters (Å, degrees): 3.497 5.649 5.649 120.00 90.00 90.00
Fractional positions:
1 Gd 0.667 0.667 0.333
2 Tm 0.167 0.333 0.667
3 Pm 0.167 0.000 0.000

[5]
Below is a relaxed structure of HoMgTlHg, with properties calculated at the PBE-GGA level.

space-group type	No. 216
formation enthalpy at 0 K	-345	meV/atom
calculated density	10.180	g/cm³
calculated total energy	-2.555	eV per atom

Lattice parameters (Å, degrees): 5.156 5.156 5.156 60.00 60.00 60.00
Fractional positions:
1 Hg 0.750 0.750 0.750
2 Tl 0.250 0.250 0.250
3 Mg 0.500 0.500 0.500
4 Ho 0.000 0.000 0.000

[6]
Below is a relaxed structure of Cs2NpB2S6, with properties calculated at the PBE-GGA level.

space-group type	No. 12
ΔE_f (raw)	-9.9	eV/f.u.
calculated density	3.831	g/cm³
calculated total energy	-5.699	eV per atom

Lattice parameters (Å, degrees): 6.838 6.888 8.509 113.00 90.00 119.76
Fractional positions:
1 Np 0.500 0.000 0.500
2 B 0.911 0.822 0.697
3 B 0.089 0.178 0.303
4 S 0.773 0.004 0.271
5 S 0.230 0.004 0.271
6 S 0.751 0.502 0.667
7 S 0.249 0.498 0.333
8 S 0.227 0.996 0.729
9 S 0.770 0.996 0.729
10 Cs 0.290 0.579 0.839
11 Cs 0.710 0.421 0.161

[7]
Below is a relaxed structure of PmSc2Bi, with properties calculated at the PBE-GGA level.

space-group type	No. 166
formation enthalpy at 0 K	122	meV/atom
calculated density	6.457	g/cm³
calculated total energy	-5.202	eV per atom

Lattice parameters (Å, degrees): 3.397 3.397 11.589 81.57 81.57 60.00
Fractional positions:
1 Sc 0.094 0.094 0.718
2 Sc 0.906 0.906 0.282
3 Pm 0.000 0.000 0.000
4 Bi 0.500 0.500 0.500

[8]
Below is a relaxed structure of KAcTeSe, with properties calculated at the PBE-GGA level.

space-group type	No. 216
ΔE_f (raw)	-5.7	eV/f.u.
calculated density	6.192	g/cm³
calculated total energy	-4.374	eV per atom

Lattice parameters (Å, degrees): 5.638 5.638 5.638 60.00 60.00 60.00
Fractional positions:
1 Te 0.750 0.750 0.750
2 Ac 0.000 0.000 0.000
3 K 0.500 0.500 0.500
4 Se 0.250 0.250 0.250

[9]
Below is a relaxed structure of TcNiCl2, with properties calculated at the PBE-GGA level.

space-group type	No. 65
ΔE_f (raw)	1.9	eV/f.u.
calculated density	5.944	g/cm³
calculated total energy	-4.490	eV per atom

Lattice parameters (Å, degrees): 3.152 3.152 7.761 90.00 90.00 124.43
Fractional positions:
1 Cl 0.000 0.000 0.009
2 Cl 0.000 0.000 0.491
3 Tc 0.500 0.500 0.750
4 Ni 0.500 0.500 0.250

[10]
Below is a relaxed structure of MgAlPd, with properties calculated at the PBE-GGA level.

space-group type	No. 187
formation enthalpy at 0 K	-558	meV/atom
calculated density	5.204	g/cm³
calculated total energy	-4.068	eV per atom

Lattice parameters (Å, degrees): 3.004 4.398 4.398 120.00 90.00 90.00
Fractional positions:
1 Al 0.167 0.000 0.000
2 Pd 0.167 0.333 0.667
3 Mg 0.666 0.667 0.333

[11]
Below is a relaxed structure of Sc2CuO, with properties calculated at the PBE-GGA level.

space-group type	No. 166
ΔE_f (raw)	-4.5	eV/f.u.
calculated density	3.249	g/cm³
calculated total energy	-6.545	eV per atom

Lattice parameters (Å, degrees): 7.130 7.130 7.130 31.25 31.25 31.25
Fractional positions:
1 Sc 0.908 0.908 0.908
2 Sc 0.092 0.092 0.092
3 O 0.000 0.000 0.000
4 Cu 0.500 0.500 0.500

[12]
Below is a relaxed structure of Na2HoTe4As, with properties calculated at the PBE-GGA level.

space-group type	No. 10
ΔE_f (raw)	-6.5	eV/f.u.
calculated density	5.374	g/cm³
calculated total energy	-3.864	eV per atom

Lattice parameters (Å, degrees): 4.323 7.555 7.929 108.20 90.00 90.00
Fractional positions:
1 Na 0.500 0.000 0.500
2 Na 0.000 0.500 0.500
3 Te 0.500 0.773 0.782
4 Te 0.000 0.246 0.775
5 Te 0.000 0.754 0.225
6 Te 0.500 0.227 0.218
7 Ho 0.500 0.500 0.000
8 As 0.000 0.000 0.000